1.
The following is a GGA-PBE calculation of crystalline MnRhPb3 at its relaxed geometry, from Alexandria via LeMat-Bulk.

Output
Crystal system: cubic
Energy above the most stable polymorph in this dataset: 0.0 meV/atom
Density: 8.76 Mg/m³

CIF file:
```
data_MnRhPb3
_symmetry_space_group_name_H-M 'P m -3 m'
_symmetry_Int_Tables_number 221
_symmetry_space_group_name_Hall '-P 4 2 3'
_cell_length_a 5.2863
_cell_length_b 5.2863
_cell_length_c 5.2863
_cell_angle_alpha 90.00
_cell_angle_beta 90.00
_cell_angle_gamma 90.00
loop_
_atom_site_label
_atom_site_type_symbol
_atom_site_fract_x
_atom_site_fract_y
_atom_site_fract_z
Mn1 Mn 0.0000 0.0000 0.0000
Rh1 Rh 0.5000 0.5000 0.5000
Pb1 Pb 0.0000 0.5000 0.5000
```


2.
The following is a GGA-PBE calculation of crystalline Li2GaPd at its relaxed geometry, from Alexandria via LeMat-Bulk.

Output
Crystal system: tetragonal
Density: 5.44 Mg/m³

CIF file:
```
data_Li2GaPd
_symmetry_space_group_name_H-M 'P 4/m m m'
_symmetry_Int_Tables_number 123
_symmetry_space_group_name_Hall '-P 4 2'
_cell_length_a 3.7238
_cell_length_b 3.7238
_cell_length_c 4.1850
_cell_angle_alpha 90.00
_cell_angle_beta 90.00
_cell_angle_gamma 90.00
loop_
_atom_site_label
_atom_site_type_symbol
_atom_site_fract_x
_atom_site_fract_y
_atom_site_fract_z
Li1 Li 0.0000 0.5000 0.0000
Ga1 Ga 0.0000 0.0000 0.5000
Pd1 Pd 0.5000 0.5000 0.5000
```


3.
The following is a GGA-PBE calculation of crystalline NiMoRh2Br at its relaxed geometry, from Alexandria via LeMat-Bulk.

Output
Crystal system: tetragonal
Energy above the most stable polymorph in this dataset: 0.0 meV/atom
Density: 6.78 Mg/m³

CIF file:
```
data_NiMoRh2Br
_symmetry_space_group_name_H-M 'P 4/m m m'
_symmetry_Int_Tables_number 123
_symmetry_space_group_name_Hall '-P 4 2'
_cell_length_a 4.7227
_cell_length_b 4.7227
_cell_length_c 4.8353
_cell_angle_alpha 90.00
_cell_angle_beta 90.00
_cell_angle_gamma 90.00
loop_
_atom_site_label
_atom_site_type_symbol
_atom_site_fract_x
_atom_site_fract_y
_atom_site_fract_z
Ni1 Ni 0.0000 0.0000 0.0000
Mo1 Mo 0.5000 0.5000 0.5000
Rh1 Rh 0.0000 0.5000 0.5000
Br1 Br 0.5000 0.5000 0.0000
```


4.
The following is a GGA-PBE calculation of crystalline MoOsRuSe2 at its relaxed geometry, from Alexandria via LeMat-Bulk.

Output
Crystal system: tetragonal
Density: 8.52 Mg/m³

CIF file:
```
data_MoOsRuSe2
_symmetry_space_group_name_H-M 'P 4/m m m'
_symmetry_Int_Tables_number 123
_symmetry_space_group_name_Hall '-P 4 2'
_cell_length_a 4.7663
_cell_length_b 4.7663
_cell_length_c 4.6764
_cell_angle_alpha 90.00
_cell_angle_beta 90.00
_cell_angle_gamma 90.00
loop_
_atom_site_label
_atom_site_type_symbol
_atom_site_fract_x
_atom_site_fract_y
_atom_site_fract_z
Mo1 Mo 0.0000 0.0000 0.0000
Os1 Os 0.5000 0.5000 0.0000
Ru1 Ru 0.5000 0.5000 0.5000
Se1 Se 0.0000 0.5000 0.5000
```


5.
The following is a GGA-PBE calculation of crystalline Sr2AuN at its relaxed geometry, from Alexandria via LeMat-Bulk.

Output
Crystal system: tetragonal
Density: 7.48 Mg/m³

CIF file:
```
data_Sr2AuN
_symmetry_space_group_name_H-M 'P 4/m m m'
_symmetry_Int_Tables_number 123
_symmetry_space_group_name_Hall '-P 4 2'
_cell_length_a 3.3648
_cell_length_b 3.3648
_cell_length_c 7.5767
_cell_angle_alpha 90.00
_cell_angle_beta 90.00
_cell_angle_gamma 90.00
loop_
_atom_site_label
_atom_site_type_symbol
_atom_site_fract_x
_atom_site_fract_y
_atom_site_fract_z
Sr1 Sr 0.0000 0.0000 0.1921
Au1 Au 0.5000 0.5000 0.5000
N1 N 0.5000 0.5000 0.0000
```


6.
The following is a GGA-PBE calculation of crystalline ThGe2PdPt5 at its relaxed geometry, from Alexandria via LeMat-Bulk.

Output
Crystal system: tetragonal
Density: 14.79 Mg/m³

CIF file:
```
data_ThGe2PdPt5
_symmetry_space_group_name_H-M 'P 4/m m m'
_symmetry_Int_Tables_number 123
_symmetry_space_group_name_Hall '-P 4 2'
_cell_length_a 4.1541
_cell_length_b 4.1541
_cell_length_c 9.4951
_cell_angle_alpha 90.00
_cell_angle_beta 90.00
_cell_angle_gamma 90.00
loop_
_atom_site_label
_atom_site_type_symbol
_atom_site_fract_x
_atom_site_fract_y
_atom_site_fract_z
Th1 Th 0.0000 0.0000 0.0000
Ge1 Ge 0.5000 0.5000 0.3754
Pd1 Pd 0.0000 0.0000 0.5000
Pt1 Pt 0.0000 0.5000 0.2299
Pt2 Pt 0.5000 0.5000 0.0000
```


7.
The following is a GGA-PBE calculation of crystalline Ba6Pd3Pt at its relaxed geometry, from Alexandria via LeMat-Bulk.

Output
Crystal system: monoclinic
Density: 5.71 Mg/m³

CIF file:
```
data_Ba6Pd3Pt
_symmetry_space_group_name_H-M 'P 1 21/c 1'
_symmetry_Int_Tables_number 14
_cell_length_a 7.8593
_cell_length_b 8.5351
_cell_length_c 13.8321
_cell_angle_alpha 90.00
_cell_angle_beta 122.93
_cell_angle_gamma 90.00
loop_
_symmetry_equiv_pos_as_xyz
'x,y,z'
'-x,-y,-z'
'-x,y+1/2,-z+1/2'
'x,-y+1/2,z+1/2'
loop_
_atom_site_label
_atom_site_type_symbol
_atom_site_fract_x
_atom_site_fract_y
_atom_site_fract_z
Ba1 Ba 0.0919 0.0644 0.2477
Ba2 Ba 0.2528 0.6812 0.0820
Ba3 Ba 0.3938 0.1759 0.0661
Pd1 Pd 0.3056 0.1028 0.7665
Pd2 Pd 0.5000 0.0000 0.5000
Pt1 Pt 0.0000 0.0000 0.0000
```


8.
The following is a GGA-PBE calculation of crystalline SmY3Tl3 at its relaxed geometry, from Alexandria via LeMat-Bulk.

Output
Crystal system: hexagonal
Energy above the most stable polymorph in this dataset: 26.3 meV/atom
Density: 8.37 Mg/m³

CIF file:
```
data_SmY3Tl3
_symmetry_space_group_name_H-M 'P 63/m'
_symmetry_Int_Tables_number 176
_symmetry_space_group_name_Hall '-P 6c'
_cell_length_a 9.4828
_cell_length_b 9.4828
_cell_length_c 5.2460
_cell_angle_alpha 90.00
_cell_angle_beta 90.00
_cell_angle_gamma 120.00
loop_
_atom_site_label
_atom_site_type_symbol
_atom_site_fract_x
_atom_site_fract_y
_atom_site_fract_z
Sm1 Sm 0.3333 0.6667 0.2500
Y1 Y 0.0006 0.2348 0.7500
Tl1 Tl 0.0705 0.6220 0.7500
```


9.
The following is a GGA-PBE calculation of crystalline AcLa3Pm8 at its relaxed geometry, from Alexandria via LeMat-Bulk.

Output
Crystal system: orthorhombic
Density: 6.46 Mg/m³

CIF file:
```
data_AcLa3Pm8
_symmetry_space_group_name_H-M 'I m m m'
_symmetry_Int_Tables_number 71
_symmetry_space_group_name_Hall '-I 2 2'
_cell_length_a 6.5570
_cell_length_b 11.7687
_cell_length_c 12.0098
_cell_angle_alpha 90.00
_cell_angle_beta 90.00
_cell_angle_gamma 90.00
loop_
_atom_site_label
_atom_site_type_symbol
_atom_site_fract_x
_atom_site_fract_y
_atom_site_fract_z
Ac1 Ac 0.0000 0.0000 0.0000
La1 La 0.0000 0.2442 0.5000
La2 La 0.0000 0.5000 0.0000
Pm1 Pm 0.0000 0.2517 0.1778
Pm2 Pm 0.2452 0.0000 0.2585
```


10.
The following is a GGA-PBE calculation of crystalline EuThGa2 at its relaxed geometry, from Alexandria via LeMat-Bulk.

Output
Crystal system: tetragonal
Energy above the most stable polymorph in this dataset: 0.0 meV/atom
Density: 8.54 Mg/m³

CIF file:
```
data_EuThGa2
_symmetry_space_group_name_H-M 'P 4/m m m'
_symmetry_Int_Tables_number 123
_symmetry_space_group_name_Hall '-P 4 2'
_cell_length_a 3.4793
_cell_length_b 3.4793
_cell_length_c 8.4071
_cell_angle_alpha 90.00
_cell_angle_beta 90.00
_cell_angle_gamma 90.00
loop_
_atom_site_label
_atom_site_type_symbol
_atom_site_fract_x
_atom_site_fract_y
_atom_site_fract_z
Eu1 Eu 0.0000 0.0000 0.0000
Th1 Th 0.0000 0.0000 0.5000
Ga1 Ga 0.5000 0.5000 0.2522
```


11.
The following is a GGA-PBE calculation of crystalline AcNpIr at its relaxed geometry, from Alexandria via LeMat-Bulk.

Output
Crystal system: orthorhombic
Density: 13.33 Mg/m³

CIF file:
```
data_AcNpIr
_symmetry_space_group_name_H-M 'F d d d'
_symmetry_Int_Tables_number 70
_cell_length_a 6.6221
_cell_length_b 12.9882
_cell_length_c 15.2085
_cell_angle_alpha 90.00
_cell_angle_beta 90.00
_cell_angle_gamma 90.00
loop_
_symmetry_equiv_pos_as_xyz
'x,y,z'
'-x,-y,-z'
'-x+1/4,-y+1/4,z'
'x+1/4,y+1/4,-z'
'x,-y+1/4,-z+1/4'
'-x,y+1/4,z+1/4'
'-x+1/4,y,-z+1/4'
'x+1/4,-y,z+1/4'
'x,y+1/2,z+1/2'
'-x,-y+1/2,-z+1/2'
'-x+1/4,-y+3/4,z+1/2'
'x+1/4,y+3/4,-z+1/2'
'x,-y+3/4,-z+3/4'
'-x,y+3/4,z+3/4'
'-x+1/4,y+1/2,-z+3/4'
'x+1/4,-y+1/2,z+3/4'
'x+1/2,y,z+1/2'
'-x+1/2,-y,-z+1/2'
'-x+3/4,-y+1/4,z+1/2'
'x+3/4,y+1/4,-z+1/2'
'x+1/2,-y+1/4,-z+3/4'
'-x+1/2,y+1/4,z+3/4'
'-x+3/4,y,-z+3/4'
'x+3/4,-y,z+3/4'
'x+1/2,y+1/2,z'
'-x+1/2,-y+1/2,-z'
'-x+3/4,-y+3/4,z'
'x+3/4,y+3/4,-z'
'x+1/2,-y+3/4,-z+1/4'
'-x+1/2,y+3/4,z+1/4'
'-x+3/4,y+1/2,-z+1/4'
'x+3/4,-y+1/2,z+1/4'
loop_
_atom_site_label
_atom_site_type_symbol
_atom_site_fract_x
_atom_site_fract_y
_atom_site_fract_z
Ac1 Ac 0.1250 0.1250 0.0132
Np1 Np 0.1250 0.1250 0.4634
Ir1 Ir 0.1250 0.0130 0.6250
```


12.
The following is a GGA-PBE calculation of crystalline BeAl2Cd at its relaxed geometry, from Alexandria via LeMat-Bulk.

Output
Crystal system: tetragonal
Energy above the most stable polymorph in this dataset: 180.1 meV/atom
Density: 3.99 Mg/m³

CIF file:
```
data_BeAl2Cd
_symmetry_space_group_name_H-M 'I -4 2 d'
_symmetry_Int_Tables_number 122
_symmetry_space_group_name_Hall 'I -4 2bw'
_cell_length_a 4.1263
_cell_length_b 4.1263
_cell_length_c 17.1301
_cell_angle_alpha 90.00
_cell_angle_beta 90.00
_cell_angle_gamma 90.00
loop_
_atom_site_label
_atom_site_type_symbol
_atom_site_fract_x
_atom_site_fract_y
_atom_site_fract_z
Be1 Be 0.0000 0.0000 0.0000
Al1 Al 0.2118 0.2500 0.1250
Cd1 Cd 0.0000 0.0000 0.5000
```


| no. | uncorrected energy (eV/atom) | size of the total moment (μB/atom) |
| --- | --- | --- |
| 1 | -5.007 | 0.893 |
| 2 | -3.484 | 0.000 |
| 3 | -5.261 | 0.131 |
| 4 | -6.117 | 0.521 |
| 5 | -4.152 | 0.040 |
| 6 | -6.397 | 0.000 |
| 7 | -3.805 | 0.000 |
| 8 | -4.719 | 0.000 |
| 9 | -4.474 | 0.000 |
| 10 | -6.373 | 1.772 |
| 11 | -8.621 | 1.434 |
| 12 | -2.641 | 0.000 |